DFT (PBE) results for a geometry-optimized NaSr2NiAs structure.

SG   P4/mmm, No. 123
Theoretical density   2.95 Mg/m³
Fermi-level density of states   3.18 states/eV per atom
Energy relative to the elements   0.0 eV/f.u.
Uncorrected energy   -3.02 eV/atom

Unit cell a=5.942 b=5.942 c=5.291 alpha=90.00 beta=90.00 gamma=90.00
Element x y z (fractional)
Na 0.000 0.000 0.000
Sr 0.000 0.500 0.500
Sr 0.500 0.000 0.500
Ni 0.500 0.500 0.000
As 0.000 0.000 0.500